The following is a DFT calculation (PBE) of a relaxed structure of Cu2TcAs.

a = 4.817 Å, b = 4.817 Å, c = 2.696 Å
α = 90.00°, β = 90.00°, γ = 117.14°
Fractional positions:
As1 0.000 0.500 0.500
Tc1 0.500 0.000 0.500
Cu1 0.000 0.000 0.000
Cu2 0.500 0.500 0.000

Results
Mass density in g/cm³: 8.95
Raw total energy in eV per atom: -5.581
Total moment in μB/f.u.: 0.00
ΔH_f (0 K) in kJ per mole of atoms: 21.4